(1)
The following is a DFT calculation (PBE) of crystalline Ta4Sn2PdSe12 at its relaxed geometry.

Computed properties:
total magnetic moment = 0.00 μB per atom
energy = -5.937 eV/atom

Cell lengths 14.8466, 3.6046, 18.9527 Å; angles 90.00, 107.42, 90.00 degrees
Closest atoms and distances in Å follow each position.
Space group C2/m (No. 12)
Inequivalent atoms, fractional coordinates:
1 Ta 0.0089 0.0000 0.1498  6 Se 2.64-2.86
2 Ta 0.1906 0.0000 0.4356  6 Se 2.59-2.77
3 Sn 0.0082 0.5000 0.2744  5 Se 2.58-2.87
4 Pd 0.0000 0.5000 0.0000  4 Se 2.47
5 Se 0.0525 0.5000 0.4171  1 Sn 2.58, 2 Ta 2.67
6 Se 0.1113 0.5000 0.9260  1 Pd 2.47, 2 Ta 2.64
7 Se 0.1230 0.5000 0.1215  1 Pd 2.47, 2 Ta 2.64
8 Se 0.1268 0.0000 0.7748  2 Sn 2.65, 1 Ta 2.80
9 Se 0.1618 0.0000 0.2845  2 Ta 2.77-2.86, 2 Sn 2.87
10 Se 0.1864 0.0000 0.5711  3 Ta 2.59-2.60

***

(2)
The following is a DFT calculation (PBE) of crystalline CsThRe at its relaxed geometry.

Computed properties:
total magnetic moment = 0.00 μB per atom
energy = -5.484 eV/atom

Cell lengths 7.1565, 7.1565, 7.1565 Å; angles 90.00, 90.00, 90.00 degrees
Closest atoms and distances in Å follow each position.
Space group F-43m (No. 216)
Inequivalent atoms, fractional coordinates:
1 Cs 0.0000 0.0000 0.0000  4 Re 3.10
2 Th 0.0000 0.0000 0.5000  4 Re 3.10
3 Re 0.2500 0.2500 0.7500  4 Th 3.10, 4 Cs 3.10

***

(3)
The following is a DFT calculation (PBE) of crystalline BaNaHg2 at its relaxed geometry.

Computed properties:
energy = -1.299 eV/atom

Cell lengths 8.9812, 8.2410, 6.9260 Å; angles 90.00, 90.00, 90.00 degrees
Closest atoms and distances in Å follow each position.
Space group Pnma (No. 62)
Inequivalent atoms, fractional coordinates:
1 Ba 0.0335 0.2500 0.1570  8 Hg 3.58-3.84, 3 Na 3.69-3.88
2 Na 0.1090 0.7500 0.3436  6 Hg 3.05-3.15
3 Hg 0.1875 0.0577 0.5754  3 Na 3.05-3.15, 1 Hg 3.17

***

(4)
The following is a DFT calculation (PBE) of crystalline CsBeCoW at its relaxed geometry.

Computed properties:
total magnetic moment = 0.00 μB per atom
energy = -4.078 eV/atom

Cell lengths 6.3878, 6.3878, 6.3878 Å; angles 90.00, 90.00, 90.00 degrees
Closest atoms and distances in Å follow each position.
Space group F-43m (No. 216)
Inequivalent atoms, fractional coordinates:
1 Cs 0.0000 0.0000 0.0000  4 W 2.77, 4 Co 2.77
2 Be 0.0000 0.0000 0.5000  4 W 2.77, 4 Co 2.77
3 Co 0.2500 0.2500 0.7500  4 Be 2.77, 4 Cs 2.77
4 W 0.2500 0.2500 0.2500  4 Be 2.77, 4 Cs 2.77

***

(5)
The following is a DFT calculation (PBE) of crystalline TcPAuO at its relaxed geometry.

Computed properties:
total magnetic moment = 0.00 μB per atom
energy = -5.857 eV/atom

Cell lengths 4.2067, 4.2067, 6.1270 Å; angles 90.00, 90.00, 90.00 degrees
Closest atoms and distances in Å follow each position.
Space group P4/nmm (No. 129, origin choice 2)
Inequivalent atoms, fractional coordinates:
1 Tc 0.2500 0.7500 0.0000  4 P 2.33
2 P 0.2500 0.2500 0.1645  4 Tc 2.33
3 Au 0.2500 0.2500 0.6425  4 O 2.28
4 O 0.2500 0.7500 0.5000  4 Au 2.28

***

(6)
The following is a DFT calculation (PBE) of crystalline DyTaN2O at its relaxed geometry.

Computed properties:
total magnetic moment = 0.00 μB per atom
energy = -9.515 eV/atom

Cell lengths 5.4354, 5.5149, 5.8849 Å; angles 91.66, 116.40, 119.19 degrees
Closest atoms and distances in Å follow each position.
Space group P1 (No. 1)
Inequivalent atoms, fractional coordinates:
1 Dy 0.0000 0.0000 0.0000  1 O 2.25, 4 N 2.25-2.39
2 Dy 0.4560 0.7261 0.1912  2 O 2.22-2.41, 3 N 2.30-2.38
3 Ta 0.0531 0.5475 0.5382  3 N 1.90-2.05, 1 O 2.12
4 Ta 0.4543 0.2255 0.6540  3 N 1.95-2.14, 2 O 1.97-2.15
5 N 0.2122 0.3862 0.3693  2 Ta 2.00-2.14
6 N 0.4943 0.9194 0.8224  2 Ta 2.04-2.05, 1 Dy 2.25
7 N 0.9141 0.5574 0.8321  1 Ta 1.95
8 N 0.9644 0.7922 0.3413  1 Ta 1.90
9 O 0.2875 0.3300 0.8508  1 Ta 1.97
10 O 0.5738 0.1576 0.3649  2 Ta 2.12-2.15, 1 Dy 2.22

***

(7)
The following is a DFT calculation (PBE) of crystalline TmZnAg at its relaxed geometry.

Computed properties:
total magnetic moment = 0.00 μB per atom
energy = -2.665 eV/atom

Cell lengths 6.6878, 6.6878, 6.6878 Å; angles 90.00, 90.00, 90.00 degrees
Closest atoms and distances in Å follow each position.
Space group F-43m (No. 216)
Inequivalent atoms, fractional coordinates:
1 Tm 0.0000 0.0000 0.0000  4 Zn 2.90, 4 Ag 2.90
2 Zn 0.2500 0.2500 0.2500  4 Tm 2.90
3 Ag 0.2500 0.2500 0.7500  4 Tm 2.90

***

(8)
The following is a DFT calculation (PBE) of crystalline HfSn2Au at its relaxed geometry.

Computed properties:
total magnetic moment = 0.00 μB per atom
energy = -5.235 eV/atom

Cell lengths 7.1386, 7.1386, 7.1386 Å; angles 90.00, 90.00, 90.00 degrees
Closest atoms and distances in Å follow each position.
Space group F-43m (No. 216)
Inequivalent atoms, fractional coordinates:
1 Hf 0.0000 0.0000 0.0000  4 Sn 3.09, 4 Au 3.09
2 Sn 0.0000 0.0000 0.5000  4 Au 3.09, 4 Sn 3.09
3 Sn 0.2500 0.2500 0.2500  4 Sn 3.09, 4 Hf 3.09
4 Au 0.2500 0.2500 0.7500  4 Hf 3.09, 4 Sn 3.09